Record 1
Material: Te3AsCl
Method: DFT, PBE
State: optimized geometry

Cell lengths 5.352, 5.352, 5.352 Å; angles 90.00, 90.00, 90.00 degrees
Element x y z (fractional)
As1 0.500 0.500 0.500
Te1 0.000 0.500 0.000
Te2 0.000 0.000 0.500
Te3 0.500 0.000 0.000
Cl1 0.000 0.000 0.000

Values from the calculation:
ΔE_f (raw), eV/f.u.: 4.9
Space-group type: Pm-3m, No. 221
ΔE to the lowest computed polymorph, meV/atom: 1088

Record 2
Material: BaAc3Bi4
Method: DFT, PBE
State: optimized geometry

Cell lengths 6.956, 6.956, 6.956 Å; angles 90.00, 90.00, 90.00 degrees
Element x y z (fractional)
Ac1 0.000 0.500 0.500
Ac2 0.500 0.000 0.500
Ac3 0.500 0.500 0.000
Ba1 0.000 0.000 0.000
Bi1 0.500 0.000 0.000
Bi2 0.000 0.500 0.000
Bi3 0.000 0.000 0.500
Bi4 0.500 0.500 0.500

Values from the calculation:
Space-group type: Pm-3m, No. 221
Formation energy from the elements, meV per atom: -911

Record 3
Material: Mn3Nb5Fe12
Method: DFT, PBE
State: optimized geometry

Cell lengths 11.775, 11.775, 11.775 Å; angles 109.47, 109.47, 109.47 degrees
Site moments in Bohr magnetons follow the coordinates.
Element x y z (fractional)
Mn1 0.750 0.375 0.125  -1.46
Mn2 0.875 0.750 0.125  -1.46
Mn3 0.375 0.750 0.625  -1.46
Mn4 0.250 0.125 0.375  -1.46
Mn5 0.875 0.125 0.250  -1.46
Mn6 0.375 0.625 0.250  -1.46
Mn7 0.625 0.375 0.750  -1.46
Mn8 0.125 0.875 0.750  -1.46
Mn9 0.750 0.875 0.625  -1.46
Mn10 0.625 0.250 0.375  -1.46
Mn11 0.125 0.250 0.875  -1.46
Mn12 0.250 0.625 0.875  -1.46
Nb1 0.125 0.375 0.250  -0.53
Nb2 0.000 0.500 0.000  -0.44
Nb3 0.000 0.000 0.000  -0.44
Nb4 0.375 0.250 0.125  -0.53
Nb5 0.500 0.000 0.500  -0.44
Nb6 0.500 0.500 0.000  -0.44
Nb7 0.125 0.750 0.375  -0.53
Nb8 0.750 0.125 0.875  -0.53
Nb9 0.750 0.625 0.375  -0.53
Nb10 0.375 0.125 0.750  -0.53
Nb11 0.625 0.875 0.250  -0.53
Nb12 0.500 0.500 0.500  -0.44
Nb13 0.500 0.000 0.000  -0.44
Nb14 0.000 0.000 0.500  -0.44
Nb15 0.250 0.375 0.625  -0.53
Nb16 0.250 0.875 0.125  -0.53
Nb17 0.000 0.500 0.500  -0.44
Nb18 0.875 0.250 0.625  -0.53
Nb19 0.625 0.750 0.875  -0.53
Nb20 0.875 0.625 0.750  -0.53
Fe1 0.744 0.142 0.083  1.22
Fe2 0.339 0.583 0.441  1.22
Fe3 0.917 0.358 0.256  1.22
Fe4 0.583 0.244 0.142  1.22
Fe5 0.602 0.744 0.661  1.22
Fe6 0.917 0.559 0.161  1.22
Fe7 0.339 0.756 0.398  1.22
Fe8 0.059 0.898 0.142  1.22
Fe9 0.559 0.917 0.661  1.22
Fe10 0.744 0.602 0.161  1.22
Fe11 0.756 0.417 0.358  1.22
Fe12 0.839 0.941 0.083  1.22
Fe13 0.142 0.744 0.583  1.22
Fe14 0.358 0.441 0.102  1.22
Fe15 0.102 0.941 0.358  1.22
Fe16 0.398 0.142 0.559  1.22
Fe17 0.102 0.161 0.244  1.22
Fe18 0.417 0.661 0.059  1.22
Fe19 0.839 0.898 0.256  1.22
Fe20 0.142 0.398 0.059  1.22
Fe21 0.358 0.917 0.756  1.22
Fe22 0.559 0.642 0.398  1.22
Fe23 0.941 0.839 0.583  1.22
Fe24 0.756 0.339 0.898  1.22
Fe25 0.441 0.358 0.602  1.22
Fe26 0.059 0.161 0.417  1.22
Fe27 0.244 0.661 0.102  1.22
Fe28 0.161 0.102 0.744  1.22
Fe29 0.642 0.083 0.244  1.22
Fe30 0.858 0.602 0.941  1.22
Fe31 0.583 0.339 0.941  1.22
Fe32 0.602 0.858 0.441  1.22
Fe33 0.898 0.839 0.756  1.22
Fe34 0.898 0.059 0.642  1.22
Fe35 0.858 0.256 0.417  1.22
Fe36 0.161 0.059 0.917  1.22
Fe37 0.642 0.559 0.898  1.22
Fe38 0.441 0.083 0.339  1.22
Fe39 0.256 0.398 0.839  1.22
Fe40 0.244 0.583 0.642  1.22
Fe41 0.941 0.102 0.858  1.22
Fe42 0.661 0.244 0.602  1.22
Fe43 0.417 0.756 0.858  1.22
Fe44 0.083 0.441 0.839  1.22
Fe45 0.398 0.256 0.339  1.22
Fe46 0.083 0.642 0.744  1.22
Fe47 0.661 0.417 0.559  1.22
Fe48 0.256 0.858 0.917  1.22

Values from the calculation:
Space-group type: Ia-3d, No. 230
Formation energy from the elements, meV per atom: 948

Record 4
Material: SrCo3Ag
Method: DFT, PBE
State: optimized geometry

Cell lengths 4.720, 4.720, 4.720 Å; angles 90.00, 90.00, 90.00 degrees
Site moments in Bohr magnetons follow the coordinates.
Element x y z (fractional)
Sr1 0.000 0.000 0.000  -0.13
Co1 0.000 0.500 0.000  1.41
Co2 0.000 0.000 0.500  1.22
Co3 0.500 0.000 0.000  1.69
Ag1 0.500 0.500 0.500  0.00

Values from the calculation:
Space-group type: Pm-3m, No. 221
Formation energy from the elements, meV per atom: 2128
ΔE to the lowest computed polymorph, meV/atom: 1021

Record 5
Material: Sc2Zn
Method: DFT, PBE
State: optimized geometry

Cell lengths 4.348, 4.348, 13.383 Å; angles 99.35, 99.35, 90.00 degrees
Site moments in Bohr magnetons follow the coordinates.
Element x y z (fractional)
Sc1 0.253 0.253 0.506  0.19
Sc2 0.747 0.747 0.494  0.19
Sc3 0.503 0.003 0.006  0.19
Sc4 0.997 0.497 0.994  0.19
Sc5 0.414 0.414 0.827  0.16
Sc6 0.586 0.586 0.173  0.16
Sc7 0.664 0.164 0.327  0.16
Sc8 0.836 0.336 0.673  0.16
Zn1 0.082 0.082 0.165  0.00
Zn2 0.918 0.918 0.835  0.00
Zn3 0.332 0.832 0.665  0.00
Zn4 0.168 0.668 0.335  0.00

Values from the calculation:
Space-group type: I4_1/amd, No. 141
Formation energy from the elements, meV per atom: -130

Record 6
Material: YMg3Br
Method: DFT, PBE
State: optimized geometry

Cell lengths 5.324, 5.324, 5.324 Å; angles 90.00, 90.00, 90.00 degrees
Element x y z (fractional)
Y1 0.500 0.500 0.500
Mg1 0.000 0.500 0.000
Mg2 0.000 0.000 0.500
Mg3 0.500 0.000 0.000
Br1 0.000 0.000 0.000

Values from the calculation:
ΔE_f (raw), eV/f.u.: 1.2
Space-group type: Pm-3m, No. 221
ΔE to the lowest computed polymorph, meV/atom: 0